An optimized crystal structure of KZr2AlPb. Source: Alexandria via LeMat-Bulk, functional PBE.

Structure (POSCAR):
```
KZr2AlPb
1.0
5.517 0.000 0.000
0.000 5.517 0.000
0.000 0.000 5.855
K Zr Al Pb
1 2 1 1
Cartesian
0.000 0.000 0.000 K
0.000 2.758 2.927 Zr
2.758 0.000 2.927 Zr
2.758 2.758 0.000 Al
0.000 0.000 2.927 Pb
```

Summary:
**DOS at the Fermi energy**: 6.03 states/eV/f.u.
**DFT formation energy**: 5.7 eV per formula unit
**M_tot**: 0.00 μB per cell

=====

An optimized crystal structure of KAlPd2. Source: Alexandria via LeMat-Bulk, functional PBE.

Structure (POSCAR):
```
KAlPd2
1.0
-2.674 2.674 8.099
2.674 -2.674 8.099
2.674 2.674 -8.099
K Al Pd
2 2 4
Cartesian
0.000 0.000 0.000 K
0.000 2.674 4.050 K
2.674 0.000 4.050 Al
0.000 0.000 8.099 Al
1.337 2.555 -2.025 Pd
2.794 1.337 2.025 Pd
1.337 0.119 6.074 Pd
-0.119 1.337 10.124 Pd
```

Summary:
**Polymorph energy (0 for the lowest one)**: 0.0 meV/atom
**DOS at the Fermi energy**: 1.50 states/eV/f.u.
**DFT formation energy**: -0.4 eV per formula unit
**M_tot**: 0.00 μB per cell